Entry 1:
# CrOs2F

An optimized crystal structure of CrOs2F (GGA-PBEsol, Alexandria).

a b c (Å): 5.8077 5.8077 5.8077
angles (deg): 90.00 90.00 90.00
Space group Fm-3m (No. 225)
Asymmetric unit:
1 Cr 0.0000 0.0000 0.0000 [4 per cell]
2 Os 0.2500 0.2500 0.2500 [8 per cell]
3 F 0.0000 0.0000 0.5000 [4 per cell]

Calculated values
As for the electronic total energy: -8.69 eV/atom. As for the energy relative to the elements, uncorrected: 1.8 eV per formula unit.

***

Entry 2:
# TaCrOs2F

An optimized crystal structure of TaCrOs2F (GGA-PBEsol, Alexandria).

a b c (Å): 4.6267 4.6267 3.4641
angles (deg): 90.00 90.00 90.00
Space group P4/mmm (No. 123)
Asymmetric unit:
1 Ta 0.0000 0.0000 0.0000 [1 per cell]
2 Cr 0.5000 0.5000 0.5000 [1 per cell]
3 Os 0.0000 0.5000 0.5000 [2 per cell]
4 F 0.5000 0.5000 0.0000 [1 per cell]

Calculated values
As for the electronic total energy: -9.27 eV/atom. As for the energy relative to the elements, uncorrected: 2.8 eV per formula unit.

***

Entry 3:
# Tl2CrOsF

An optimized crystal structure of Tl2CrOsF (GGA-PBEsol, Alexandria).

a b c (Å): 4.9087 4.9087 4.0083
angles (deg): 90.00 90.00 90.00
Space group P4/mmm (No. 123)
Asymmetric unit:
1 Tl 0.0000 0.5000 0.0000 [2 per cell]
2 Cr 0.0000 0.0000 0.5000 [1 per cell]
3 Os 0.5000 0.5000 0.5000 [1 per cell]
4 F 0.5000 0.5000 0.0000 [1 per cell]

Calculated values
As for the electronic total energy: -5.10 eV/atom. As for the energy relative to the elements, uncorrected: 4.2 eV per formula unit.

***

Entry 4:
# CrP2SF

An optimized crystal structure of CrP2SF (GGA-PBEsol, Alexandria).

a b c (Å): 4.3370 4.3370 4.2384
angles (deg): 90.00 90.00 90.00
Space group P4/mmm (No. 123)
Asymmetric unit:
1 Cr 0.0000 0.0000 0.0000 [1 per cell]
2 P 0.0000 0.5000 0.0000 [2 per cell]
3 S 0.0000 0.0000 0.5000 [1 per cell]
4 F 0.5000 0.5000 0.5000 [1 per cell]

Calculated values
As for the electronic total energy: -5.61 eV/atom. As for the energy relative to the elements, uncorrected: 0.1 eV per formula unit.

***

Entry 5:
# RbCrF3

An optimized crystal structure of RbCrF3 (GGA-PBEsol, Alexandria).

a b c (Å): 4.1631 4.1631 4.1631
angles (deg): 90.00 90.00 90.00
Space group Pm-3m (No. 221)
Asymmetric unit:
1 Rb 0.0000 0.0000 0.0000 [1 per cell]
2 Cr 0.5000 0.5000 0.5000 [1 per cell]
3 F 0.0000 0.5000 0.5000 [3 per cell]

Calculated values
As for the electronic total energy: -5.87 eV/atom. As for the energy relative to the elements, uncorrected: -12.3 eV per formula unit.

***

Entry 6:
# RbCr2F

An optimized crystal structure of RbCr2F (GGA-PBEsol, Alexandria).

a b c (Å): 7.3550 7.3550 7.3550
angles (deg): 90.00 90.00 90.00
Space group Fm-3m (No. 225)
Asymmetric unit:
1 Rb 0.0000 0.0000 0.0000 [4 per cell]
2 Cr 0.2500 0.2500 0.2500 [8 per cell]
3 F 0.0000 0.0000 0.5000 [4 per cell]

Calculated values
As for the electronic total energy: -4.81 eV/atom. As for the energy relative to the elements, uncorrected: 4.2 eV per formula unit.